# 1
Y2GaSbSe | Alexandria via LeMat-Bulk | PBE | relaxed; E_tot = -5.15 eV per atom; DOS(E_F) = 0.9266 states/eV/atom
1.0
5.393 0.000 0.000
0.000 4.938 0.000
0.000 0.000 5.393
Ga Y Sb Se
1 2 1 1
direct
0.000 0.500 0.000
0.000 0.000 0.500
0.500 0.000 0.000
0.500 0.500 0.500
0.000 0.000 0.000

***

# 2
MoBr | Alexandria via LeMat-Bulk | PBE | relaxed; E_tot = -5.30 eV per atom; DOS(E_F) = 1.2257 states/eV/atom; excess energy over the best structure of this formula in the dataset = 1021 meV per atom
1.0
-1.395 4.211 0.365
-2.792 -3.153 -1.441
-1.395 -0.860 4.586
Br Mo
2 2
direct
0.667 0.333 0.750
0.333 0.667 0.250
0.000 0.000 0.000
0.000 0.000 0.500

***

Please write out number 2 again, unchanged.
MoBr | Alexandria via LeMat-Bulk | PBE | relaxed; E_tot = -5.30 eV per atom; DOS(E_F) = 1.2257 states/eV/atom; excess energy over the best structure of this formula in the dataset = 1021 meV per atom
1.0
-1.395 4.211 0.365
-2.792 -3.153 -1.441
-1.395 -0.860 4.586
Br Mo
2 2
direct
0.667 0.333 0.750
0.333 0.667 0.250
0.000 0.000 0.000
0.000 0.000 0.500